Record 1
The following is a PBE calculation of a relaxed DyLuMgOs crystal, from the Alexandria database.

abc: 4.946 4.946 4.946
angles: 60.00 60.00 60.00
Positions (direct):
Mg1 0.750 0.750 0.750
Lu1 0.500 0.500 0.500
Os1 0.250 0.250 0.250
Dy1 0.000 0.000 0.000

* magnetic moment: 0.00 μB per formula unit
* symmetry: F-43m, No. 216
* calculated formation energy: -178 meV/atom

Record 2
The following is a PBE calculation of a relaxed DyLuMgPb crystal, from the Alexandria database.

abc: 5.320 5.320 5.320
angles: 60.00 60.00 60.00
Positions (direct):
Pb1 0.500 0.500 0.500
Mg1 0.000 0.000 0.000
Lu1 0.750 0.750 0.750
Dy1 0.250 0.250 0.250

* magnetic moment: 0.00 μB per formula unit
* symmetry: F-43m, No. 216
* calculated formation energy: -227 meV/atom

Record 3
The following is a PBE calculation of a relaxed DyLuMgPt crystal, from the Alexandria database.

abc: 5.030 5.030 5.030
angles: 60.00 60.00 60.00
Positions (direct):
Mg1 0.250 0.250 0.250
Lu1 0.500 0.500 0.500
Pt1 0.750 0.750 0.750
Dy1 0.000 0.000 0.000

* magnetic moment: 0.00 μB per formula unit
* symmetry: F-43m, No. 216
* calculated formation energy: -621 meV/atom

Record 4
The following is a PBE calculation of a relaxed DyLuPuMg crystal, from the Alexandria database.

abc: 5.408 5.408 5.408
angles: 60.00 60.00 60.00
Positions (direct):
Mg1 0.000 0.000 0.000
Lu1 0.250 0.250 0.250
Dy1 0.750 0.750 0.750
Pu1 0.500 0.500 0.500

* magnetic moment: 6.26 μB per formula unit
* symmetry: F-43m, No. 216
* calculated formation energy: 150 meV/atom

Record 5
The following is a PBE calculation of a relaxed SmDyLuMg crystal, from the Alexandria database.

abc: 5.493 5.493 5.493
angles: 60.00 60.00 60.00
Positions (direct):
Mg1 0.750 0.750 0.750
Lu1 0.250 0.250 0.250
Sm1 0.000 0.000 0.000
Dy1 0.500 0.500 0.500

* magnetic moment: 0.00 μB per formula unit
* symmetry: F-43m, No. 216
* calculated formation energy: 20 meV/atom

Record 6
The following is a PBE calculation of a relaxed DyLuMgTc crystal, from the Alexandria database.

abc: 4.983 4.983 4.983
angles: 60.00 60.00 60.00
Positions (direct):
Mg1 0.000 0.000 0.000
Lu1 0.750 0.750 0.750
Tc1 0.500 0.500 0.500
Dy1 0.250 0.250 0.250

* magnetic moment: 0.00 μB per formula unit
* symmetry: F-43m, No. 216
* calculated formation energy: -36 meV/atom

Record 7
The following is a PBE calculation of a relaxed DyLuMgTl crystal, from the Alexandria database.

abc: 5.291 5.291 5.291
angles: 60.00 60.00 60.00
Positions (direct):
Tl1 0.500 0.500 0.500
Lu1 0.750 0.750 0.750
Mg1 0.000 0.000 0.000
Dy1 0.250 0.250 0.250

* magnetic moment: 0.00 μB per formula unit
* symmetry: F-43m, No. 216
* calculated formation energy: -199 meV/atom

Record 8
The following is a PBE calculation of a relaxed DyLuMgZr crystal, from the Alexandria database.

abc: 5.310 5.310 5.310
angles: 60.00 60.00 60.00
Positions (direct):
Mg1 0.500 0.500 0.500
Lu1 0.250 0.250 0.250
Zr1 0.000 0.000 0.000
Dy1 0.750 0.750 0.750

* magnetic moment: 2.03 μB per formula unit
* symmetry: F-43m, No. 216
* calculated formation energy: 134 meV/atom

Record 9
The following is a PBE calculation of a relaxed DyLu2Mn crystal, from the Alexandria database.

abc: 3.476 3.476 8.466
angles: 90.00 90.00 90.00
Positions (direct):
Lu1 0.000 0.000 0.802
Lu2 0.000 0.000 0.198
Mn1 0.500 0.500 0.000
Dy1 0.500 0.500 0.500

* magnetic moment: 3.41 μB per formula unit
* symmetry: P4/mmm, No. 123
* calculated formation energy: 99 meV/atom

Record 10
The following is a PBE calculation of a relaxed DyLuMnOs crystal, from the Alexandria database.

abc: 4.852 4.852 4.852
angles: 60.00 60.00 60.00
Positions (direct):
Lu1 0.250 0.250 0.250
Os1 0.500 0.500 0.500
Mn1 0.000 0.000 0.000
Dy1 0.750 0.750 0.750

* magnetic moment: 3.65 μB per formula unit
* symmetry: F-43m, No. 216
* calculated formation energy: -56 meV/atom

Record 11
The following is a PBE calculation of a relaxed DyLuMnRu crystal, from the Alexandria database.

abc: 4.854 4.854 4.854
angles: 60.00 60.00 60.00
Positions (direct):
Ru1 0.250 0.250 0.250
Lu1 0.000 0.000 0.000
Mn1 0.750 0.750 0.750
Dy1 0.500 0.500 0.500

* magnetic moment: 3.59 μB per formula unit
* symmetry: F-43m, No. 216
* calculated formation energy: -126 meV/atom

Record 12
The following is a PBE calculation of a relaxed DyLuMnTc crystal, from the Alexandria database.

abc: 4.865 4.865 4.865
angles: 60.00 60.00 60.00
Positions (direct):
Lu1 0.250 0.250 0.250
Tc1 0.500 0.500 0.500
Mn1 0.000 0.000 0.000
Dy1 0.750 0.750 0.750

* magnetic moment: 3.73 μB per formula unit
* symmetry: F-43m, No. 216
* calculated formation energy: 81 meV/atom

Number 1: total energy -5.665 eV/atom. Number 2: total energy -3.834 eV/atom. Number 3: total energy -4.810 eV/atom. Number 4: total energy -6.113 eV/atom. Number 5: total energy -3.839 eV/atom. Number 6: total energy -5.307 eV/atom. Number 7: total energy -3.470 eV/atom. Number 8: total energy -4.683 eV/atom. Number 9: total energy -5.604 eV/atom. Number 10: total energy -7.437 eV/atom. Number 11: total energy -7.018 eV/atom. Number 12: total energy -7.084 eV/atom.